DFT (PBE) results for a geometry-optimized Li3Ac2Pt4Pb structure.

Cell lengths 4.308, 4.308, 11.237 Å; angles 90.00, 90.00, 90.00 degrees
Element x y z (fractional)
Li 0.000 0.000 0.500
Li 0.500 0.000 0.890
Li 0.000 0.500 0.110
Ac 0.500 0.000 0.221
Ac 0.000 0.500 0.779
Pt 0.500 0.500 0.000
Pt 0.000 0.000 0.000
Pt 0.500 0.000 0.663
Pt 0.000 0.500 0.337
Pb 0.500 0.500 0.500

Computed properties:
ΔE_f: -0.748 eV per atom
Symmetry: P-4m2
Magnetization: 0.00 μB per cell